Record 1
# TlMo3

A relaxed TlMo3 crystal (PBE-GGA, Alexandria).

a b c (Å): 3.0475 4.0288 5.8610
angles (deg): 90.00 90.00 90.00
Fractional coordinates of all 4 atoms:
Tl (0.0000, 0.0000, 0.0000)
Mo (0.0000, 0.0000, 0.5000)
Mo (0.5000, 0.5000, 0.2962)
Mo (0.5000, 0.5000, 0.7038)

Summary:
- ΔH_f (0 K) (eV per atom) = 0.4870
- V (Å³ per atom) = 17.99
- space group = Pmmm (47)
- crystal system = orthorhombic

***

Record 2
# TlMo2

A relaxed TlMo2 crystal (PBE-GGA, Alexandria).

a b c (Å): 8.1609 8.1609 2.7950
angles (deg): 90.00 90.00 120.00
Fractional coordinates of all 9 atoms:
Tl (0.0000, 0.0000, 0.0000)
Tl (0.3333, 0.6667, 0.5000)
Tl (0.6667, 0.3333, 0.5000)
Mo (0.0000, 0.3149, 0.5000)
Mo (0.0000, 0.6489, 0.0000)
Mo (0.3149, 0.0000, 0.5000)
Mo (0.3511, 0.3511, 0.0000)
Mo (0.6489, 0.0000, 0.0000)
Mo (0.6851, 0.6851, 0.5000)

Summary:
- ΔH_f (0 K) (eV per atom) = 0.7111
- V (Å³ per atom) = 17.91
- space group = P-62m (189)
- crystal system = hexagonal

***

Record 3
# TlMo

A relaxed TlMo crystal (PBE-GGA, Alexandria).

a b c (Å): 4.7688 4.7688 5.5227
angles (deg): 90.00 90.00 120.00
Fractional coordinates of all 4 atoms:
Tl (0.3333, 0.6667, 0.2500)
Tl (0.6667, 0.3333, 0.7500)
Mo (0.3333, 0.6667, 0.7500)
Mo (0.6667, 0.3333, 0.2500)

Summary:
- ΔH_f (0 K) (eV per atom) = 1.7861
- V (Å³ per atom) = 27.19
- space group = P6_3/mmc (194)
- crystal system = hexagonal

***

Record 4
# Tl2Mo

A relaxed Tl2Mo crystal (PBE-GGA, Alexandria).

a b c (Å): 8.6609 8.6609 3.0896
angles (deg): 90.00 90.00 120.00
Fractional coordinates of all 9 atoms:
Tl (0.0000, 0.2768, 0.0000)
Tl (0.0000, 0.5972, 0.5000)
Tl (0.2768, 0.0000, 0.0000)
Tl (0.4028, 0.4028, 0.5000)
Tl (0.5972, 0.0000, 0.5000)
Tl (0.7232, 0.7232, 0.0000)
Mo (0.0000, 0.0000, 0.5000)
Mo (0.3333, 0.6667, 0.0000)
Mo (0.6667, 0.3333, 0.0000)

Summary:
- ΔH_f (0 K) (eV per atom) = 0.8486
- V (Å³ per atom) = 22.30
- space group = P-62m (189)
- crystal system = hexagonal

***

Record 5
# TlMo

A relaxed TlMo crystal (PBE-GGA, Alexandria).

a b c (Å): 5.7689 5.7689 5.6340
angles (deg): 90.00 90.00 90.00
Fractional coordinates of all 8 atoms:
Tl (0.1798, 0.1798, 0.0000)
Tl (0.3202, 0.6798, 0.5000)
Tl (0.6798, 0.3202, 0.5000)
Tl (0.8202, 0.8202, 0.0000)
Mo (0.1407, 0.1407, 0.5000)
Mo (0.3593, 0.6407, 0.0000)
Mo (0.6407, 0.3593, 0.0000)
Mo (0.8593, 0.8593, 0.5000)

Summary:
- ΔH_f (0 K) (eV per atom) = 1.1994
- V (Å³ per atom) = 23.44
- space group = P4_2/mnm (136)
- crystal system = tetragonal

***

Record 6
# TlMo

A relaxed TlMo crystal (PBE-GGA, Alexandria).

a b c (Å): 3.3720 4.8962 4.7369
angles (deg): 90.00 90.00 90.00
Fractional coordinates of all 4 atoms:
Tl (0.0000, 0.0000, 0.0000)
Tl (0.5000, 0.5000, 0.0000)
Mo (0.0000, 0.5000, 0.5000)
Mo (0.5000, 0.0000, 0.5000)

Summary:
- ΔH_f (0 K) (eV per atom) = 0.8812
- V (Å³ per atom) = 19.55
- space group = Cmmm (65)
- crystal system = orthorhombic